ScGeIr3: optimized geometry, GGA-PBE.

## Properties
energy relative to the elements = -0.436 eV per atom
space group = Imma
final energy = -7.9427 eV/atom
density of states at the Fermi level = 0.562 states/eV per atom

a b c (Å): 6.2422 6.2422 6.2422
angles (deg): 106.71 128.25 95.36
Sites, in units of the cell vectors:
1 Sc 0.0228 0.2728 0.2500
2 Sc 0.9772 0.7272 0.7500
3 Ir 0.0000 0.6947 0.1947
4 Ir 0.0000 0.3053 0.8053
5 Ir 0.5000 0.3053 0.3053
6 Ir 0.2964 0.0464 0.7500
7 Ge 0.5000 0.5000 0.0000
8 Ir 0.5000 0.6947 0.6947
9 Ir 0.7036 0.9536 0.2500
10 Ge 0.5000 0.0000 0.5000


ScGe2Ir: optimized geometry, GGA-PBE.

## Properties
energy relative to the elements = 0.023 eV per atom
space group = R-3m
final energy = -6.0836 eV/atom
density of states at the Fermi level = 0.991 states/eV per atom

a b c (Å): 3.0554 3.0554 9.5699
angles (deg): 80.81 80.81 60.00
Sites, in units of the cell vectors:
1 Sc 0.0000 0.0000 0.0000
2 Ir 0.5000 0.5000 0.5000
3 Ge 0.9018 0.9018 0.2947
4 Ge 0.0982 0.0982 0.7053


ScGeIr: optimized geometry, GGA-PBE.

## Properties
energy relative to the elements = -0.735 eV per atom
space group = Immm
final energy = -7.3381 eV/atom
density of states at the Fermi level = 0.213 states/eV per atom

a b c (Å): 3.4942 5.6911 6.2528
angles (deg): 117.07 106.22 90.00
Sites, in units of the cell vectors:
1 Ge 0.6260 0.1260 0.2519
2 Ge 0.3740 0.8740 0.7481
3 Ir 0.0000 0.7518 0.0000
4 Ir 0.0000 0.2482 0.0000
5 Sc 0.3352 0.3352 0.6705
6 Sc 0.6648 0.6648 0.3295


Sc2GeIr: optimized geometry, GGA-PBE.

## Properties
energy relative to the elements = -0.879 eV per atom
space group = P2_1/m
final energy = -7.4148 eV/atom
density of states at the Fermi level = 0.670 states/eV per atom

a b c (Å): 4.3696 5.4984 6.6799
angles (deg): 111.71 90.00 90.00
Sites, in units of the cell vectors:
1 Sc 0.7500 0.2331 0.4115
2 Ge 0.2500 0.3258 0.7169
3 Sc 0.2500 0.7669 0.5885
4 Ge 0.7500 0.6742 0.2831
5 Ir 0.2500 0.3548 0.2009
6 Ir 0.7500 0.6452 0.7991
7 Sc 0.2500 0.8193 0.0746
8 Sc 0.7500 0.1807 0.9254


Sc2Ge3Ir: optimized geometry, GGA-PBE.

## Properties
energy relative to the elements = -0.676 eV per atom
space group = Cm
final energy = -6.5720 eV/atom
density of states at the Fermi level = 0.478 states/eV per atom

a b c (Å): 4.2975 5.3952 5.5796
angles (deg): 73.14 67.35 66.53
Sites, in units of the cell vectors:
1 Sc 0.4372 0.8071 0.3184
2 Ge 0.1586 0.7715 0.9112
3 Sc 0.5491 0.1923 0.7095
4 Ge 0.8218 0.2418 0.1147
5 Ge 0.8628 0.6140 0.6604
6 Ir 0.1705 0.3732 0.2858


ScGe2Ir2: optimized geometry, GGA-PBE.

## Properties
energy relative to the elements = -0.603 eV per atom
space group = C2/m
final energy = -7.2610 eV/atom
density of states at the Fermi level = 0.460 states/eV per atom

a b c (Å): 4.1153 4.1153 5.8750
angles (deg): 110.75 110.75 90.00
Sites, in units of the cell vectors:
1 Sc 0.0000 0.0000 0.0000
2 Ge 0.6173 0.6173 0.2371
3 Ir 0.2502 0.7498 0.5000
4 Ge 0.3827 0.3827 0.7629
5 Ir 0.7498 0.2502 0.5000